VASP calculation (PBE) on crystalline HoSiPt2 at its relaxed geometry.

Summary:
E_tot   -6.411 eV per atom
Total magnetic moment   0.0 μB/f.u.

Cell and atoms, written as POSCAR:
```
HoSiPt2
1.0
4.258 0.000 0.000
0.000 6.091 0.000
0.000 0.000 6.099
Ho Si Pt
2 2 4
Cartesian
0.000 1.270 0.000
0.000 4.822 3.049
2.129 1.834 2.228
2.129 4.257 5.277
0.000 2.056 3.219
0.000 4.035 0.169
2.129 0.348 4.195
2.129 5.744 1.146
```


VASP calculation (PBE) on crystalline Tm8Ga3Co at its relaxed geometry.

Summary:
E_tot   -4.757 eV per atom
Total magnetic moment   0.0 μB/f.u.

Cell and atoms, written as POSCAR:
```
Tm8Ga3Co
1.0
9.872 0.000 0.000
-4.936 8.549 0.000
0.000 0.000 6.810
Tm Ga Co
16 6 2
Cartesian
0.000 0.000 0.000
0.000 0.000 3.405
-1.938 4.581 0.163
0.000 2.961 4.919
-2.371 7.069 4.919
0.000 5.700 2.749
2.565 1.481 1.514
1.938 4.581 0.163
0.000 7.937 0.163
4.936 0.612 3.568
2.998 3.969 3.568
2.371 7.069 4.919
4.936 2.850 6.154
7.307 1.481 1.514
4.936 5.588 1.514
6.874 3.969 3.568
0.000 2.796 1.844
-2.515 7.152 1.844
2.421 1.398 5.249
2.515 7.152 1.844
7.451 1.398 5.249
4.936 5.754 5.249
0.000 5.700 5.379
4.936 2.850 1.974
```


VASP calculation (PBE) on crystalline KErP2S7 at its relaxed geometry.

Summary:
E_tot   -5.012 eV per atom
Total magnetic moment   0.0 μB/f.u.

Cell and atoms, written as POSCAR:
```
KErP2S7
1.0
9.603 0.000 0.000
0.000 12.325 0.000
-0.005 0.000 8.971
K Er P S
4 4 8 28
Cartesian
1.063 2.363 1.169
1.060 3.799 5.654
8.538 8.526 3.316
8.535 9.962 7.802
3.432 7.919 5.435
3.434 10.568 0.950
6.164 1.757 8.021
6.166 4.405 3.536
2.150 7.466 8.749
2.153 11.021 4.263
3.093 0.432 7.193
3.096 5.730 2.707
6.502 6.594 6.263
6.505 11.893 1.778
7.445 1.304 4.707
7.448 4.859 0.222
1.246 8.781 1.023
1.244 9.706 5.508
1.252 6.869 7.048
1.254 11.618 2.563
1.649 6.541 3.866
1.646 11.946 8.351
2.461 0.620 5.162
2.463 5.542 0.677
3.410 2.386 7.671
3.413 3.776 3.186
3.909 8.366 8.233
3.912 10.121 3.748
4.784 6.847 2.892
4.781 11.640 7.378
4.817 0.685 1.593
4.814 5.477 6.079
5.686 2.204 5.223
5.689 3.959 0.738
6.185 8.549 5.785
6.188 9.939 1.299
7.135 6.783 8.294
7.137 11.704 3.809
7.952 0.379 0.620
7.949 5.784 5.105
8.344 0.707 6.408
8.346 5.456 1.923
8.354 2.618 3.463
8.352 3.544 7.948
```